Entry from Alexandria via LeMat-Bulk: TbMo2O6 after structural relaxation (PBE+U).

It has space group P-31m (No. 162), with a = 5.2913 Å, b = 5.2913 Å, c = 4.9494 Å, α = 90.00°, β = 90.00° and γ = 120.00°. Symmetry generates all atoms from Tb at (0.0000, 0.0000, 0.0000), Mo at (0.3333, 0.6667, 0.5000) and O at (0.0000, 0.3556, 0.2743).

The calculation puts the total moment at 3.000 μB/f.u. The calculation puts the energy at -67.93 eV for the cell shown.